[1]
## Al2Ga (PBE)

Data for crystalline Al2Ga at its relaxed geometry.

abc: 7.750 7.750 7.750
angles: 21.24 21.24 21.24
Sites, in units of the cell vectors:
Al1 0.061 0.061 0.061
Al2 0.939 0.939 0.939
Ga1 0.500 0.500 0.500

Output
Magnetization ... 0.0 μB per formula unit
Energy of formation from the pure elements ... 0.080 eV per atom

[2]
## TmHfNiOs (PBE)

Data for crystalline TmHfNiOs at its relaxed geometry.

abc: 4.644 4.644 4.644
angles: 60.00 60.00 60.00
Sites, in units of the cell vectors:
Tm1 0.000 0.000 0.000
Hf1 0.500 0.500 0.500
Ni1 0.750 0.750 0.750
Os1 0.250 0.250 0.250

Output
Magnetization ... 0.0 μB per formula unit
Energy of formation from the pure elements ... -0.466 eV per atom

[3]
## BSbRh3 (PBE)

Data for crystalline BSbRh3 at its relaxed geometry.

abc: 4.174 4.174 4.174
angles: 90.00 90.00 90.00
Sites, in units of the cell vectors:
B1 0.000 0.000 0.000
Sb1 0.500 0.500 0.500
Rh1 0.000 0.000 0.500
Rh2 0.000 0.500 0.000
Rh3 0.500 0.000 0.000

Output
Magnetization ... 0.0 μB per formula unit
Offset from the most stable computed form ... 205 meV per atom
Formation energy (no corrections) ... -0.9 eV/f.u.

[4]
## ZrSi3Pd (PBE)

Data for crystalline ZrSi3Pd at its relaxed geometry.

abc: 4.653 4.653 4.653
angles: 90.00 90.00 90.00
Sites, in units of the cell vectors:
Zr1 0.000 0.000 0.000
Si1 0.000 0.500 0.500
Si2 0.500 0.000 0.500
Si3 0.500 0.500 0.000
Pd1 0.500 0.500 0.500

Output
Magnetization ... 0.0 μB per formula unit
Formation energy (no corrections) ... 2.7 eV/f.u.